# 1
A plane-wave DFT calculation with PBE was carried out for a relaxed ErAg3S3 crystal.

a = 7.227 Å, b = 7.227 Å, c = 7.882 Å
α = 62.71°, β = 62.71°, γ = 60.00°
Fractional coordinates of all 14 atoms:
Ag  0.423  0.814  0.632
Ag  0.814  0.131  0.632
Ag  0.577  0.186  0.368
Ag  0.869  0.577  0.368
Ag  0.131  0.423  0.632
Ag  0.186  0.869  0.368
S  0.716  0.436  0.780
S  0.931  0.284  0.220
S  0.564  0.931  0.220
S  0.069  0.716  0.780
S  0.436  0.069  0.780
S  0.284  0.564  0.220
Er  0.335  0.335  0.994
Er  0.665  0.665  0.006

Density: 6.4 Mg/m³

# 2
A plane-wave DFT calculation with PBE was carried out for a relaxed Er2AgS crystal.

a = 3.749 Å, b = 3.749 Å, c = 8.020 Å
α = 76.48°, β = 76.48°, γ = 60.00°
Fractional coordinates of all 4 atoms:
Ag  0.668  0.668  0.997
Er  0.245  0.245  0.264
Er  0.088  0.088  0.735
S  0.499  0.499  0.504

Relative energy among the computed polymorphs: 191.7 meV/atom
Density: 8.4 Mg/m³

# 3
A plane-wave DFT calculation with PBE was carried out for a relaxed Er2AgS4 crystal.

a = 6.604 Å, b = 5.275 Å, c = 8.535 Å
α = 90.00°, β = 98.58°, γ = 90.00°
Fractional coordinates of all 14 atoms:
Er  0.843  0.750  0.148
Er  0.241  0.250  0.433
Er  0.157  0.250  0.852
Er  0.759  0.750  0.567
S  0.092  0.750  0.408
S  0.557  0.009  0.296
S  0.025  0.750  0.878
S  0.975  0.250  0.122
S  0.443  0.991  0.704
S  0.557  0.491  0.296
S  0.908  0.250  0.592
S  0.443  0.509  0.704
Ag  0.656  0.250  0.927
Ag  0.344  0.750  0.073

Relative energy among the computed polymorphs: 70.4 meV/atom
Density: 6.4 Mg/m³

# 4
A plane-wave DFT calculation with PBE was carried out for a relaxed ErAg2SbS4 crystal.

a = 3.969 Å, b = 6.677 Å, c = 6.941 Å
α = 68.87°, β = 90.00°, γ = 90.00°
Fractional coordinates of all 8 atoms:
S  0.000  0.746  0.744
S  0.500  0.739  0.251
S  0.000  0.254  0.256
S  0.500  0.261  0.749
Sb  0.500  0.500  0.000
Er  0.000  0.500  0.500
Ag  0.000  0.000  0.000
Ag  0.500  0.000  0.500

Density: 6.1 Mg/m³

Q: Which energy relative to the elements, uncorrected values were calculated for the entries above? A: -0.736, -0.928, -1.334, -0.709, in eV per atom.